# 1
A geometry-optimized Na2GaPb structure, computed with GGA-PBE.

## Properties
- crystal system = trigonal

Cell: 3.4212 3.4212 11.5625 Å, 81.49 81.49 60.00°
With the nearest neighbours (Å) after each atom.
Fractional coordinates of all 4 atoms:
Na 0.9128 0.9128 0.2617  1 Ga 2.98
Na 0.0872 0.0872 0.7383  1 Ga 2.98
Pb 0.5000 0.5000 0.5000  6 Na 3.36, 6 Pb 3.42
Ga 0.0000 0.0000 0.0000  2 Na 2.98

# 2
A geometry-optimized Na2Ga2Pb structure, computed with GGA-PBE.

## Properties
- crystal system = tetragonal

Cell: 8.4555 8.4555 3.5156 Å, 90.00 90.00 90.00°
With the nearest neighbours (Å) after each atom.
Fractional coordinates of all 10 atoms:
Na 0.3698 0.8698 0.0000  6 Ga 2.98-3.10, 1 Na 3.11, 2 Pb 3.31
Na 0.8698 0.6302 0.0000  6 Ga 2.98-3.10, 1 Na 3.11, 2 Pb 3.31
Na 0.6302 0.1302 0.0000  6 Ga 2.98-3.10, 1 Na 3.11, 2 Pb 3.31
Na 0.1302 0.3698 0.0000  6 Ga 2.98-3.10, 1 Na 3.11, 2 Pb 3.31
Pb 0.5000 0.5000 0.0000  4 Na 3.31, 2 Pb 3.52, 8 Ga 3.60
Pb 0.0000 0.0000 0.0000  4 Na 3.31, 2 Pb 3.52, 8 Ga 3.60
Ga 0.1688 0.6688 0.5000  6 Na 2.98-3.10
Ga 0.3312 0.1688 0.5000  6 Na 2.98-3.10
Ga 0.6688 0.8312 0.5000  6 Na 2.98-3.10
Ga 0.8312 0.3312 0.5000  6 Na 2.98-3.10

# 3
A geometry-optimized Na3GaPb structure, computed with GGA-PBE.

## Properties
- crystal system = cubic

Cell: 5.5276 5.5276 5.5276 Å, 90.00 90.00 90.00°
With the nearest neighbours (Å) after each atom.
Fractional coordinates of all 5 atoms:
Na 0.0000 0.5000 0.0000  2 Ga 2.76
Na 0.5000 0.0000 0.0000  2 Ga 2.76
Na 0.0000 0.0000 0.5000  2 Ga 2.76
Ga 0.0000 0.0000 0.0000  6 Na 2.76
Pb 0.5000 0.5000 0.5000  12 Na 3.91

no.,formation energy (eV per atom),magnetization (μB/f.u.),electronic total energy (eV per atom)
1,0.0955,0.00,-2.248
2,0.0942,0.00,-2.386
3,0.2694,0.00,-1.869